This record from Alexandria via LeMat-Bulk describes a geometry-optimized Na2ScHg structure. The functional is GGA-PBE.

```
Na2ScHg
1.0
-1.386 1.163 2.754
-1.362 -2.079 2.163
9.399 -1.248 7.227
Hg Na Sc
1 2 1
Direct
0.500 0.500 0.500
0.091 0.091 0.727
0.909 0.909 0.273
0.000 0.000 0.000
```

Calculated values
spin magnetization = 0.40 μB/cell
density of states at the Fermi level = 1.215 states/eV per atom
volume = 27.66 Å³/atom
electronic total energy = -8.604 eV for the cell shown
symmetry = R-3m (166)